Entry 1:
DFT (PBE) results for Pm5SmY5 after structural relaxation.

Calculated values
The excess energy over the best structure of this formula in the dataset is 0.000 eV/atom. The value obtained for the energy of formation is 0.26 eV per atom. As for the total DFT energy (no corrections): -115.8 eV for the cell shown.

Cell: 18.7668 6.0626 7.0121 Å, 90.00 108.95 90.00°
Space group C2/m (No. 12)
Asymmetric unit:
Pm (0.0000, 0.0000, 0.0000) (multiplicity 2)
Pm (0.1254, 0.5000, 0.1423) (multiplicity 4)
Pm (0.1710, 0.5000, 0.6865) (multiplicity 4)
Sm (0.0000, 0.0000, 0.5000) (multiplicity 2)
Y (0.0000, 0.5000, 0.5000) (multiplicity 2)
Y (0.1754, 0.0000, 0.4244) (multiplicity 4)
Y (0.1788, 0.0000, 0.9197) (multiplicity 4)


Entry 2:
DFT (PBE) results for Pm2SmY after structural relaxation.

Calculated values
The excess energy over the best structure of this formula in the dataset is 0.004 eV/atom. The value obtained for the energy of formation is 0.01 eV per atom. As for the total DFT energy (no corrections): -82.5 eV for the cell shown.

Cell: 10.2544 10.2602 5.1257 Å, 90.00 90.00 90.00°
Space group Cmcm (No. 63)
Asymmetric unit:
Pm (0.2502, 0.1251, 0.2500) (multiplicity 8)
Sm (0.0000, 0.1255, 0.7500) (multiplicity 4)
Y (0.0000, 0.3758, 0.2500) (multiplicity 4)


Entry 3:
DFT (PBE) results for Pm2SmY after structural relaxation.

Calculated values
The excess energy over the best structure of this formula in the dataset is 0.000 eV/atom. The value obtained for the energy of formation is 0.01 eV per atom. As for the total DFT energy (no corrections): -61.9 eV for the cell shown.

Cell: 3.6458 3.6458 35.2434 Å, 90.00 90.00 120.00°
Space group R3m (No. 160, hexagonal axes)
Asymmetric unit:
Pm (0.0000, 0.0000, 0.0000) (multiplicity 3)
Pm (0.0000, 0.0000, 0.1652) (multiplicity 3)
Sm (0.0000, 0.0000, 0.5832) (multiplicity 3)
Y (0.0000, 0.0000, 0.4163) (multiplicity 3)


Entry 4:
DFT (PBE) results for Pm7Sm2Y2 after structural relaxation.

Calculated values
The excess energy over the best structure of this formula in the dataset is 0.026 eV/atom. The value obtained for the energy of formation is 0.16 eV per atom. As for the total DFT energy (no corrections): -107.6 eV for the cell shown.

Cell: 9.9717 9.4466 8.4013 Å, 90.00 105.04 90.00°
Space group C2/m (No. 12)
Asymmetric unit:
Pm (0.0000, 0.0000, 0.0000) (multiplicity 2)
Pm (0.1984, 0.2973, 0.1781) (multiplicity 8)
Pm (0.2081, 0.5000, 0.5223) (multiplicity 4)
Sm (0.0863, 0.5000, 0.8288) (multiplicity 4)
Y (0.0000, 0.1983, 0.5000) (multiplicity 4)


Entry 5:
DFT (PBE) results for Pm4Sm15Y after structural relaxation.

Calculated values
The value obtained for the energy of formation is 0.02 eV per atom. As for the total DFT energy (no corrections): -95.9 eV for the cell shown.

Cell: 5.1378 5.1378 25.6748 Å, 90.00 90.00 90.00°
Space group P4/mmm (No. 123)
Asymmetric unit:
Pm (0.0000, 0.0000, 0.1001) (multiplicity 2)
Pm (0.0000, 0.0000, 0.3005) (multiplicity 2)
Sm (0.0000, 0.5000, 0.0000) (multiplicity 2)
Sm (0.0000, 0.5000, 0.2002) (multiplicity 4)
Sm (0.0000, 0.5000, 0.4006) (multiplicity 4)
Sm (0.5000, 0.5000, 0.1000) (multiplicity 2)
Sm (0.5000, 0.5000, 0.3006) (multiplicity 2)
Sm (0.5000, 0.5000, 0.5000) (multiplicity 1)
Y (0.0000, 0.0000, 0.5000) (multiplicity 1)


Entry 6:
DFT (PBE) results for Pm2SmY4 after structural relaxation.

Calculated values
The excess energy over the best structure of this formula in the dataset is 0.139 eV/atom. The value obtained for the energy of formation is 0.17 eV per atom. As for the total DFT energy (no corrections): -155.4 eV for the cell shown.

Cell: 16.6191 6.7667 11.6625 Å, 90.00 134.50 90.00°
Space group C2 (No. 5)
Asymmetric unit:
Pm (0.0000, 0.0000, 0.0000) (multiplicity 2)
Pm (0.0000, 0.0012, 0.5000) (multiplicity 2)
Pm (0.2219, 0.1119, 0.4720) (multiplicity 4)
Sm (0.2223, 0.1118, 0.9724) (multiplicity 4)
Y (0.0000, 0.3259, 0.2498) (multiplicity 4)
Y (0.9996, 0.7728, 0.2495) (multiplicity 4)
Y (0.1564, 0.4850, 0.1561) (multiplicity 4)
Y (0.1561, 0.4845, 0.6563) (multiplicity 4)


Entry 7:
DFT (PBE) results for Pm4Sm5Y after structural relaxation.

Calculated values
The excess energy over the best structure of this formula in the dataset is 0.000 eV/atom. The value obtained for the energy of formation is 0.15 eV per atom. As for the total DFT energy (no corrections): -95.2 eV for the cell shown.

Cell: 28.7305 3.4901 6.8996 Å, 90.00 96.91 90.00°
Space group C2/m (No. 12)
Asymmetric unit:
Pm (0.0943, 0.0000, 0.2993) (multiplicity 4)
Pm (0.1075, 0.5000, 0.8077) (multiplicity 4)
Sm (0.0000, 0.5000, 0.5000) (multiplicity 2)
Sm (0.2020, 0.0000, 0.6018) (multiplicity 4)
Sm (0.2063, 0.0000, 0.1041) (multiplicity 4)
Y (0.0000, 0.5000, 0.0000) (multiplicity 2)


Entry 8:
DFT (PBE) results for Pm4Sm19Y6 after structural relaxation.

Calculated values
The value obtained for the energy of formation is 0.37 eV per atom. As for the total DFT energy (no corrections): -273.3 eV for the cell shown.

Cell: 12.6398 12.6398 12.6398 Å, 90.00 90.00 90.00°
Space group I23 (No. 197)
Asymmetric unit:
Pm (0.1823, 0.1823, 0.1823) (multiplicity 8)
Sm (0.0000, 0.0000, 0.0000) (multiplicity 2)
Sm (0.0000, 0.0000, 0.2567) (multiplicity 12)
Sm (0.0607, 0.2813, 0.7411) (multiplicity 24)
Y (0.0000, 0.1254, 0.5000) (multiplicity 12)


- Which of these has the highest energy of formation?
  Pm4Sm19Y6


- total DFT energy (no corrections) of number 1 (Pm5SmY5)?
  -115.8 eV for the cell shown


- Look up the total DFT energy (no corrections) of the sixth one.
  -155.4 eV for the cell shown